No. 1
## Hg2HBrF (PBE-GGA)

Data for a geometry-optimized Hg2HBrF structure. Values from VASP.

Quantum ESPRESSO input file:
```
&SYSTEM
  ibrav = 0, nat = 5, ntyp = 4
/
ATOMIC_SPECIES
Hg 200.59 Hg.upf
F 19.00 F.upf
H 1.01 H.upf
Br 79.90 Br.upf
CELL_PARAMETERS angstrom
4.706 0.000 0.000
0.000 4.293 0.000
0.000 0.000 4.706
ATOMIC_POSITIONS crystal
Hg 0.500 0.000 0.000
Hg 0.000 0.000 0.500
F 0.500 0.500 0.500
H 0.000 0.000 0.000
Br 0.000 0.500 0.000
```

Raw total energy (Ha/atom): -0.0524
Space group: P4/mmm
Fermi-level density of states (states/eV per cell): 2.58



No. 2
## K3HBrF (PBE-GGA)

Data for a geometry-optimized K3HBrF structure. Values from VASP.

Quantum ESPRESSO input file:
```
&SYSTEM
  ibrav = 0, nat = 12, ntyp = 4
/
ATOMIC_SPECIES
K 39.10 K.upf
Br 79.90 Br.upf
H 1.01 H.upf
F 19.00 F.upf
CELL_PARAMETERS angstrom
-1.791 -3.566 -1.585
1.202 -3.428 6.356
-9.644 4.198 1.453
ATOMIC_POSITIONS crystal
K 0.250 0.791 0.476
K 0.750 0.027 0.156
K 0.750 0.567 0.160
K 0.250 0.433 0.840
K 0.750 0.209 0.524
K 0.250 0.973 0.844
Br 0.750 0.656 0.690
Br 0.250 0.344 0.310
H 0.750 0.238 0.951
H 0.250 0.762 0.049
F 0.750 0.870 0.354
F 0.250 0.130 0.646
```

Raw total energy (Ha/atom): -0.1187
Space group: P2_1/m
Fermi-level density of states (states/eV per cell): 0.00



No. 3
## KHBr2F (PBE-GGA)

Data for a geometry-optimized KHBr2F structure. Values from VASP.

Quantum ESPRESSO input file:
```
&SYSTEM
  ibrav = 0, nat = 5, ntyp = 4
/
ATOMIC_SPECIES
Br 79.90 Br.upf
H 1.01 H.upf
F 19.00 F.upf
K 39.10 K.upf
CELL_PARAMETERS angstrom
4.166 0.000 0.000
0.000 6.821 0.000
0.000 0.000 4.166
ATOMIC_POSITIONS crystal
Br 0.000 0.000 0.500
Br 0.500 0.000 0.000
H 0.000 0.000 0.000
F 0.000 0.500 0.000
K 0.500 0.500 0.500
```

Raw total energy (Ha/atom): -0.0948
Space group: P4/mmm
Fermi-level density of states (states/eV per cell): 2.68



No. 4
## K6H2BrF3 (PBE-GGA)

Data for a geometry-optimized K6H2BrF3 structure. Values from VASP.

Quantum ESPRESSO input file:
```
&SYSTEM
  ibrav = 0, nat = 12, ntyp = 4
/
ATOMIC_SPECIES
K 39.10 K.upf
Br 79.90 Br.upf
F 19.00 F.upf
H 1.01 H.upf
CELL_PARAMETERS angstrom
4.053 0.000 0.000
0.000 8.204 0.247
-2.027 -2.414 8.599
ATOMIC_POSITIONS crystal
K 0.679 0.087 0.359
K 0.993 0.285 0.986
K 0.667 0.585 0.333
K 0.333 0.415 0.667
K 0.007 0.715 0.014
K 0.321 0.913 0.641
Br 0.500 0.000 0.000
F 0.168 0.824 0.337
F 0.500 0.500 0.000
F 0.832 0.176 0.663
H 0.830 0.660 0.659
H 0.170 0.340 0.341
```

Raw total energy (Ha/atom): -0.1249
Space group: C2/m
Fermi-level density of states (states/eV per cell): 0.00